(1)
## AlSbTe2P (PBE-GGA)

Data for a relaxed AlSbTe2P crystal.

Calculated values
- Raw total energy: -3.3607 eV per atom
- ΔE_f (raw): 0.55 eV/atom
- N(E_F): 0.761 states/eV/atom
- Relative energy among the computed polymorphs: 0 meV/atom
- Total magnetization: 0.00 μB/f.u.

Cell: 5.3864 5.3864 5.0634 Å, 90.00 90.00 90.00°
Space group P4/mmm (No. 123)
One atom of each set of equivalent atoms:
Al1 0.0000 0.0000 0.0000
Sb1 0.5000 0.5000 0.0000
Te1 0.0000 0.5000 0.5000
P1 0.5000 0.5000 0.5000

---

(2)
## AlSb2TeP (PBE-GGA)

Data for a relaxed AlSb2TeP crystal.

Calculated values
- Raw total energy: -3.4822 eV per atom
- ΔE_f (raw): 0.63 eV/atom
- N(E_F): 1.112 states/eV/atom
- Relative energy among the computed polymorphs: 0 meV/atom
- Total magnetization: 0.00 μB/f.u.

Cell: 5.1636 5.1636 5.4043 Å, 90.00 90.00 90.00°
Space group P4/mmm (No. 123)
One atom of each set of equivalent atoms:
Al1 0.0000 0.0000 0.0000
Sb1 0.0000 0.5000 0.5000
Te1 0.5000 0.5000 0.0000
P1 0.5000 0.5000 0.5000

---

(3)
## AlSb2TeP (PBE-GGA)

Data for a relaxed AlSb2TeP crystal.

Calculated values
- Raw total energy: -3.2769 eV per atom
- ΔE_f (raw): 0.83 eV/atom
- N(E_F): 0.866 states/eV/atom
- Relative energy among the computed polymorphs: 205 meV/atom
- Total magnetization: 0.00 μB/f.u.

Cell: 5.2432 5.2432 5.1603 Å, 90.00 90.00 90.00°
Space group P4/mmm (No. 123)
One atom of each set of equivalent atoms:
Al1 0.0000 0.0000 0.0000
Sb1 0.0000 0.5000 0.0000
Te1 0.0000 0.0000 0.5000
P1 0.5000 0.5000 0.5000

---

(4)
## AlSbTe2P (PBE-GGA)

Data for a relaxed AlSbTe2P crystal.

Calculated values
- Raw total energy: -3.1300 eV per atom
- ΔE_f (raw): 0.78 eV/atom
- N(E_F): 1.115 states/eV/atom
- Relative energy among the computed polymorphs: 231 meV/atom
- Total magnetization: 0.00 μB/f.u.

Cell: 5.2047 5.2047 5.2830 Å, 90.00 90.00 90.00°
Space group P4/mmm (No. 123)
One atom of each set of equivalent atoms:
Al1 0.0000 0.0000 0.0000
Sb1 0.0000 0.0000 0.5000
Te1 0.0000 0.5000 0.0000
P1 0.5000 0.5000 0.5000

---

(5)
## AlSbP2W (PBE-GGA)

Data for a relaxed AlSbP2W crystal.

Calculated values
- Raw total energy: -5.0763 eV per atom
- ΔE_f (raw): 1.25 eV/atom
- N(E_F): 0.905 states/eV/atom
- Total magnetization: 1.14 μB/f.u.

Cell: 4.4980 4.4980 5.0094 Å, 90.00 90.00 90.00°
Space group P4/mmm (No. 123)
One atom of each set of equivalent atoms:
Al1 0.0000 0.0000 0.0000
Sb1 0.5000 0.5000 0.5000
P1 0.0000 0.5000 0.0000
W1 0.0000 0.0000 0.5000

---

(6)
## Sc2AlP (PBE-GGA)

Data for a relaxed Sc2AlP crystal.

Calculated values
- Raw total energy: -5.8618 eV per atom
- N(E_F): 0.911 states/eV/atom
- Relative energy among the computed polymorphs: 462 meV/atom
- Total magnetization: 0.00 μB/f.u.
- Formation energy: -0.4079 eV per atom

Cell: 3.2920 3.2920 7.0381 Å, 90.00 90.00 90.00°
Space group P4mm (No. 99)
One atom of each set of equivalent atoms:
Sc1 0.0000 0.0000 0.0000
Sc2 0.5000 0.5000 0.3353
Al1 0.0000 0.0000 0.5994
P1 0.5000 0.5000 0.7581